Computed, not measured: a geometry-optimized SrIrO3 structure at the PBEsol level of DFT.

Cell: 5.5352 5.5352 14.2389 Å, 91.69 91.69 120.15°
With the nearest neighbours (Å) after each atom.
Positions (direct):
Sr (0.0005, 0.9995, 0.2500)  8 O 2.50-2.76
Sr (0.9995, 0.0005, 0.7500)  8 O 2.50-2.76
Sr (0.3268, 0.6490, 0.8956)  5 O 2.43-2.64
Sr (0.3510, 0.6732, 0.6044)  5 O 2.43-2.64
Sr (0.6490, 0.3268, 0.3956)  5 O 2.43-2.64
Sr (0.6732, 0.3510, 0.1044)  5 O 2.43-2.64
Ir (0.0000, 0.0000, 0.0000)  6 O 1.99-2.00
Ir (0.0000, 0.0000, 0.5000)  6 O 1.99-2.00
Ir (0.3135, 0.6471, 0.3480)  6 O 2.00-2.07
Ir (0.3529, 0.6865, 0.1520)  6 O 2.00-2.07
Ir (0.6471, 0.3135, 0.8480)  6 O 2.00-2.07
Ir (0.6865, 0.3529, 0.6520)  6 O 2.00-2.07
O (0.0310, 0.5060, 0.2365)  2 Ir 2.01-2.03
O (0.0653, 0.2709, 0.4010)  2 Ir 1.99-2.02
O (0.0743, 0.7899, 0.4005)  2 Ir 1.99-2.00
O (0.2101, 0.9257, 0.0995)  2 Ir 1.99-2.00
O (0.2139, 0.4059, 0.0414)  2 Ir 2.00-2.02
O (0.2709, 0.0653, 0.9010)  2 Ir 1.99-2.02
O (0.4059, 0.2139, 0.5414)  2 Ir 2.00-2.02
O (0.4916, 0.5084, 0.2500)  2 Ir 2.07
O (0.4940, 0.9690, 0.2635)  2 Ir 2.01-2.03
O (0.5060, 0.0310, 0.7365)  2 Ir 2.01-2.03
O (0.5084, 0.4916, 0.7500)  2 Ir 2.07
O (0.5941, 0.7861, 0.4586)  2 Ir 2.00-2.02
O (0.7291, 0.9347, 0.0990)  2 Ir 1.99-2.02
O (0.7861, 0.5941, 0.9586)  2 Ir 2.00-2.02
O (0.7899, 0.0743, 0.9005)  2 Ir 1.99-2.00
O (0.9257, 0.2101, 0.5995)  2 Ir 1.99-2.00
O (0.9347, 0.7291, 0.5990)  2 Ir 1.99-2.02
O (0.9690, 0.4940, 0.7635)  2 Ir 2.01-2.03

Calculated values
As for the space-group type: C2/c, No. 15. Its electronic total energy is -213.7 eV for the cell shown. The value obtained for the density of states at the Fermi level is 18.357 states/eV/cell. The crystal system is monoclinic.